# 1
Computed, not measured: ZnGa5Co4 after structural relaxation at the PBE-GGA level of DFT.

abc: 2.798 2.798 16.566
angles: 90.00 90.00 90.00
Fractional coordinates of all 10 atoms:
1 Zn 0.000 0.000 0.000
2 Ga 0.500 0.500 0.132
3 Ga 0.500 0.500 0.317
4 Ga 0.500 0.500 0.500
5 Ga 0.500 0.500 0.683
6 Ga 0.500 0.500 0.868
7 Co 0.000 0.000 0.226
8 Co 0.000 0.000 0.409
9 Co 0.000 0.000 0.591
10 Co 0.000 0.000 0.774

total magnetization: 0.000 μB/atom
formation enthalpy at 0 K: -175 kJ/mol of formula units
V: 13.0 Å³/atom
raw total energy: -4.665 eV per atom

# 2
Computed, not measured: MgMnSe2 after structural relaxation at the PBE-GGA level of DFT.

abc: 5.504 3.860 3.860
angles: 90.01 90.00 90.00
Fractional coordinates of all 4 atoms:
1 Mg 0.000 0.000 0.000
2 Mn 0.500 0.499 0.499
3 Se 0.000 0.500 0.500
4 Se 0.500 0.999 0.999

total magnetization: 1.218 μB/atom
E_form (uncorrected): -0.786 eV per atom
V: 20.5 Å³/atom
raw total energy: -5.219 eV per atom

# 3
Computed, not measured: CeSm2ThSe4 after structural relaxation at the PBE-GGA level of DFT.

abc: 7.215 4.165 7.312
angles: 90.00 109.17 90.00
Fractional coordinates of all 8 atoms:
1 Ce 0.000 0.000 0.000
2 Sm 0.000 0.500 0.500
3 Sm 0.500 0.000 0.500
4 Th 0.500 0.500 0.000
5 Se 0.248 0.000 0.745
6 Se 0.251 0.500 0.254
7 Se 0.749 0.500 0.746
8 Se 0.752 0.000 0.255

total magnetization: 0.113 μB/atom
E_form (uncorrected): -1.747 eV per atom
V: 25.9 Å³/atom
raw total energy: -6.338 eV per atom

# 4
Computed, not measured: Ge2Bi2Au after structural relaxation at the PBE-GGA level of DFT.

abc: 6.559 6.559 5.973
angles: 90.00 90.00 90.00
Fractional coordinates of all 10 atoms:
1 Ge 0.135 0.365 0.000
2 Ge 0.365 0.865 0.000
3 Ge 0.635 0.135 0.000
4 Ge 0.865 0.635 0.000
5 Bi 0.183 0.317 0.500
6 Bi 0.317 0.817 0.500
7 Bi 0.683 0.183 0.500
8 Bi 0.817 0.683 0.500
9 Au 0.000 0.000 0.000
10 Au 0.500 0.500 0.000

total magnetization: 0.000 μB/atom
formation enthalpy at 0 K: 31 kJ/mol of formula units
V: 25.7 Å³/atom
raw total energy: -3.991 eV per atom
distance to the lowest polymorph of the same formula: 0.0 meV per atom

# 5
Computed, not measured: PmNi3C after structural relaxation at the PBE-GGA level of DFT.

abc: 4.021 4.021 4.021
angles: 90.00 90.00 90.00
Fractional coordinates of all 5 atoms:
1 Pm 0.000 0.000 0.000
2 Ni 0.000 0.500 0.500
3 Ni 0.500 0.000 0.500
4 Ni 0.500 0.500 0.000
5 C 0.500 0.500 0.500

total magnetization: 0.000 μB/atom
formation enthalpy at 0 K: -38 kJ/mol of formula units
V: 13.0 Å³/atom
raw total energy: -6.343 eV per atom
distance to the lowest polymorph of the same formula: 0.0 meV per atom

# 6
Computed, not measured: Y12Tm6Cd after structural relaxation at the PBE-GGA level of DFT.

abc: 8.452 8.452 8.452
angles: 88.73 88.73 88.73
Fractional coordinates of all 19 atoms:
1 Y 0.038 0.935 0.285
2 Y 0.065 0.715 0.962
3 Y 0.134 0.484 0.328
4 Y 0.285 0.038 0.935
5 Y 0.328 0.134 0.484
6 Y 0.484 0.328 0.134
7 Y 0.516 0.672 0.866
8 Y 0.672 0.866 0.516
9 Y 0.715 0.962 0.065
10 Y 0.866 0.516 0.672
11 Y 0.935 0.285 0.038
12 Y 0.962 0.065 0.715
13 Tm 0.219 0.761 0.599
14 Tm 0.239 0.401 0.781
15 Tm 0.401 0.781 0.239
16 Tm 0.599 0.219 0.761
17 Tm 0.761 0.599 0.219
18 Tm 0.781 0.239 0.401
19 Cd 0.500 0.500 0.500

total magnetization: 0.000 μB/atom
formation enthalpy at 0 K: 186 kJ/mol of formula units
V: 31.8 Å³/atom
raw total energy: -5.441 eV per atom

# 7
Computed, not measured: SmScPSe after structural relaxation at the PBE-GGA level of DFT.

abc: 7.191 7.191 7.191
angles: 31.48 31.48 31.48
Fractional coordinates of all 4 atoms:
1 Sm 0.000 0.000 0.000
2 Sc 0.816 0.816 0.816
3 P 0.417 0.417 0.417
4 Se 0.234 0.234 0.234

total magnetization: 0.000 μB/atom
E_form (uncorrected): -1.647 eV per atom
V: 22.5 Å³/atom
raw total energy: -6.634 eV per atom

# 8
Computed, not measured: Mg2TaW after structural relaxation at the PBE-GGA level of DFT.

abc: 5.026 5.026 5.511
angles: 93.63 93.63 31.78
Fractional coordinates of all 4 atoms:
1 Mg 0.000 0.000 0.000
2 Mg 0.246 0.246 0.759
3 Ta 0.497 0.497 0.479
4 W 0.747 0.747 0.273

total magnetization: 0.000 μB/atom
formation enthalpy at 0 K: 148 kJ/mol of formula units
V: 18.3 Å³/atom
raw total energy: -6.614 eV per atom
distance to the lowest polymorph of the same formula: 184.5 meV per atom